An optimized crystal structure of V2SiF, computed with GGA+U.

The calculation puts the relative energy among the computed polymorphs at 0.453 eV/atom.

Unit cell a=5.954 b=5.954 c=5.954 alpha=90.00 beta=90.00 gamma=90.00
Space group Fm-3m (No. 225)
Inequivalent atoms, fractional coordinates:
1 V 0.250 0.250 0.250 [8 per cell]
2 Si 0.000 0.000 0.000 [4 per cell]
3 F 0.000 0.000 0.500 [4 per cell]